# 1
Compound: SrTbSm4S8
Source: the Alexandria database
Functional: PBE
Structure: optimized geometry

electronic total energy = -6.142 eV/atom
crystal system = trigonal

Cell: 8.3122 8.3122 8.2822 Å, 59.88 59.88 60.00°
With the nearest neighbours (Å) after each atom.
Positions (direct):
Sr1 0.3755 0.3755 0.8736  4 S 2.80-2.81
Tb1 0.0019 0.0019 0.9943  6 S 2.73-2.83
Sm1 0.6247 0.6247 0.1258  4 S 2.69-2.71
Sm2 0.0018 0.4947 0.5017  6 S 2.77-2.88
Sm3 0.4947 0.0018 0.5017  6 S 2.77-2.88
Sm4 0.0018 0.0018 0.5017  6 S 2.77-2.88
S1 0.2343 0.7899 0.7415  1 Tb 2.73, 2 Sm 2.78, 1 Sr 2.81
S2 0.7899 0.2343 0.7415  1 Tb 2.73, 2 Sm 2.78, 1 Sr 2.81
S3 0.2343 0.2343 0.7415  1 Tb 2.73, 2 Sm 2.78, 1 Sr 2.81
S4 0.2372 0.2372 0.2883  3 Sm 2.77, 1 Sr 2.80
S5 0.7606 0.2251 0.2537  3 Sm 2.71-2.88, 1 Tb 2.83
S6 0.2251 0.7606 0.2537  3 Sm 2.71-2.88, 1 Tb 2.83
S7 0.7606 0.7606 0.2537  3 Sm 2.71-2.88, 1 Tb 2.83
S8 0.7576 0.7576 0.7272  4 Sm 2.69-2.87



# 2
Compound: Sr2SmUS6
Source: the Alexandria database
Functional: PBE
Structure: optimized geometry

electronic total energy = -6.248 eV/atom
crystal system = monoclinic

Cell: 6.9970 7.4850 10.1986 Å, 90.00 90.10 90.00°
With the nearest neighbours (Å) after each atom.
Positions (direct):
Sr1 0.0275 0.9200 0.2504  6 S 3.00-3.23
Sr2 0.5275 0.5800 0.7504  6 S 3.00-3.23
Sr3 0.9725 0.0800 0.7496  6 S 3.00-3.23
Sr4 0.4725 0.4200 0.2496  6 S 3.00-3.23
Sm1 0.5000 0.0000 0.0000  6 S 2.78-2.79
Sm2 0.0000 0.5000 0.5000  6 S 2.78-2.79
U1 0.5000 0.0000 0.5000  6 S 2.61-2.64
U2 0.0000 0.5000 0.0000  6 S 2.61-2.64
S1 0.3011 0.6878 0.0603  1 U 2.61, 1 Sm 2.79
S2 0.8011 0.8122 0.5604  1 U 2.61, 1 Sm 2.79
S3 0.6989 0.3122 0.9397  1 U 2.61, 1 Sm 2.79
S4 0.1989 0.1878 0.4396  1 U 2.61, 1 Sm 2.79
S5 0.3185 0.7035 0.4357  1 U 2.64, 1 Sm 2.78
S6 0.8185 0.7965 0.9357  1 U 2.64, 1 Sm 2.78
S7 0.6815 0.2965 0.5643  1 U 2.64, 1 Sm 2.78
S8 0.1815 0.2035 0.0643  1 U 2.64, 1 Sm 2.78
S9 0.8818 0.5398 0.2416  1 U 2.62, 1 Sm 2.78
S10 0.3817 0.9602 0.7417  1 U 2.62, 1 Sm 2.78
S11 0.1182 0.4602 0.7584  1 U 2.62, 1 Sm 2.78
S12 0.6183 0.0398 0.2583  1 U 2.62, 1 Sm 2.78



# 3
Compound: Sr2SmYS4
Source: the Alexandria database
Functional: PBE
Structure: optimized geometry

electronic total energy = -5.928 eV/atom
crystal system = monoclinic

Cell: 4.0712 7.0448 7.2116 Å, 109.02 90.00 90.00°
With the nearest neighbours (Å) after each atom.
Positions (direct):
Sr1 0.5000 0.0000 0.5000  6 S 2.96
Sr2 0.0000 0.5000 0.5000  6 S 2.99
Sm1 0.5000 0.5000 0.0000  6 S 2.85
Y1 0.0000 0.0000 0.0000  6 S 2.82
S1 0.5000 0.2401 0.2316  2 Y 2.82, 1 Sm 2.85, 3 Sr 2.96-2.99
S2 0.5000 0.7599 0.7684  2 Y 2.82, 1 Sm 2.85, 3 Sr 2.96-2.99
S3 0.0000 0.2510 0.7657  1 Y 2.82, 2 Sm 2.85, 3 Sr 2.96-2.99
S4 0.0000 0.7490 0.2343  1 Y 2.82, 2 Sm 2.85, 3 Sr 2.96-2.99



# 4
Compound: Sr3SmY3S8
Source: the Alexandria database
Functional: PBE
Structure: optimized geometry

electronic total energy = -6.224 eV/atom
crystal system = trigonal

Cell: 8.0395 8.0394 8.2840 Å, 119.03 90.00 120.00°
With the nearest neighbours (Å) after each atom.
Positions (direct):
Sr1 0.0000 0.0000 0.0000  6 S 2.97-2.99
Sr2 0.0000 0.5000 0.0000  6 S 2.97-2.99
Sr3 0.5000 0.5000 0.0000  6 S 2.97-2.99
Sm1 0.0000 0.0000 0.5000  6 S 2.82
Y1 0.5000 0.0000 0.5000  6 S 2.78-2.80
Y2 0.5000 0.5000 0.5000  6 S 2.78-2.80
Y3 0.0000 0.5000 0.5000  6 S 2.78-2.80
S1 0.2568 0.5137 0.2705  3 Y 2.80, 3 Sr 2.97
S2 0.7432 0.4863 0.7295  3 Y 2.80, 3 Sr 2.97
S3 0.7558 0.5116 0.2730  2 Y 2.78, 1 Sm 2.82, 2 Sr 2.99
S4 0.2442 0.4884 0.7270  2 Y 2.78, 1 Sm 2.82, 2 Sr 2.99
S5 0.7558 0.0172 0.2730  2 Y 2.78, 1 Sm 2.82, 2 Sr 2.99
S6 0.2442 0.9828 0.7270  2 Y 2.78, 1 Sm 2.82, 2 Sr 2.99
S7 0.2614 0.0172 0.2730  2 Y 2.78, 1 Sm 2.82, 2 Sr 2.99
S8 0.7386 0.9828 0.7270  2 Y 2.78, 1 Sm 2.82, 2 Sr 2.99



# 5
Compound: SrSmY2S4
Source: the Alexandria database
Functional: PBE
Structure: optimized geometry

electronic total energy = -6.493 eV/atom
crystal system = monoclinic

Cell: 3.9902 6.9727 6.9646 Å, 70.93 90.00 90.00°
With the nearest neighbours (Å) after each atom.
Positions (direct):
Sr1 0.5000 0.5000 0.0000  6 S 2.90-2.91
Sm1 0.0000 0.5000 0.5000  6 S 2.87
Y1 0.0000 0.0000 0.0000  6 S 2.81
Y2 0.5000 0.0000 0.5000  6 S 2.77
S1 0.0000 0.7654 0.7404  3 Y 2.77-2.81, 1 Sm 2.87, 2 Sr 2.91
S2 0.0000 0.2346 0.2596  3 Y 2.77-2.81, 1 Sm 2.87, 2 Sr 2.91
S3 0.5000 0.7614 0.2498  3 Y 2.77-2.81, 2 Sm 2.87, 1 Sr 2.90
S4 0.5000 0.2386 0.7502  3 Y 2.77-2.81, 2 Sm 2.87, 1 Sr 2.90



# 6
Compound: SrSm2YS4
Source: the Alexandria database
Functional: PBE
Structure: optimized geometry

electronic total energy = -6.272 eV/atom
crystal system = monoclinic

Cell: 4.0177 7.0154 7.0042 Å, 70.93 90.00 90.00°
With the nearest neighbours (Å) after each atom.
Positions (direct):
Sr1 0.5000 0.5000 0.0000  6 S 2.89-2.90
Sm1 0.0000 0.0000 0.0000  6 S 2.89
Sm2 0.5000 0.0000 0.5000  6 S 2.82
Y1 0.0000 0.5000 0.5000  6 S 2.82
S1 0.0000 0.7542 0.7396  3 Sm 2.82-2.89, 1 Y 2.82, 2 Sr 2.90
S2 0.0000 0.2458 0.2604  3 Sm 2.82-2.89, 1 Y 2.82, 2 Sr 2.90
S3 0.5000 0.7470 0.2588  3 Sm 2.82-2.89, 2 Y 2.82, 1 Sr 2.89
S4 0.5000 0.2530 0.7412  3 Sm 2.82-2.89, 2 Y 2.82, 1 Sr 2.89



# 7
Compound: Sr3Sm3ZnS8
Source: the Alexandria database
Functional: PBE
Structure: optimized geometry

electronic total energy = -5.399 eV/atom
crystal system = trigonal

Cell: 8.0893 8.0884 8.3057 Å, 119.14 90.00 120.00°
With the nearest neighbours (Å) after each atom.
Positions (direct):
Sr1 0.0000 0.0000 0.0000  6 S 2.96-2.99
Sr2 0.0000 0.5000 0.0000  6 S 2.96-2.99
Sr3 0.5000 0.5000 0.0000  6 S 2.96-2.99
Sm1 0.5000 0.0000 0.5000  6 S 2.82-2.84
Sm2 0.5000 0.5000 0.5000  6 S 2.82-2.84
Sm3 0.0000 0.5000 0.5000  6 S 2.82-2.84
Zn1 0.0000 0.0000 0.5000  6 S 2.68-2.69
S1 0.2549 0.5097 0.2646  3 Sm 2.84, 3 Sr 2.96
S2 0.7451 0.4903 0.7354  3 Sm 2.84, 3 Sr 2.96
S3 0.7686 0.5372 0.2818  1 Zn 2.68, 2 Sm 2.82, 2 Sr 2.99
S4 0.2314 0.4628 0.7182  1 Zn 2.68, 2 Sm 2.82, 2 Sr 2.99
S5 0.7682 0.0132 0.2814  1 Zn 2.69, 2 Sm 2.82, 2 Sr 2.99
S6 0.2318 0.9868 0.7186  1 Zn 2.69, 2 Sm 2.82, 2 Sr 2.99
S7 0.2450 0.0132 0.2814  1 Zn 2.69, 2 Sm 2.82, 2 Sr 2.99
S8 0.7550 0.9868 0.7186  1 Zn 2.69, 2 Sm 2.82, 2 Sr 2.99



# 8
Compound: Sm2TaS5
Source: the Alexandria database
Functional: PBE
Structure: optimized geometry

electronic total energy = -6.704 eV/atom
crystal system = orthorhombic

Cell: 5.1651 7.2266 12.7168 Å, 90.00 90.00 110.94°
With the nearest neighbours (Å) after each atom.
Positions (direct):
Sm1 0.8550 0.7100 0.4358  6 S 2.72-2.95
Sm2 0.8550 0.7100 0.0642  6 S 2.72-2.95
Sm3 0.1450 0.2900 0.5642  6 S 2.72-2.95
Sm4 0.1450 0.2900 0.9358  6 S 2.72-2.95
Ta1 0.8175 0.6350 0.7500  6 S 2.41-2.64
Ta2 0.1825 0.3650 0.2500  6 S 2.41-2.64
S1 0.9515 0.9031 0.8751  1 Ta 2.41
S2 0.9515 0.9031 0.6249  1 Ta 2.41
S3 0.2992 0.5983 0.4067  1 Ta 2.54, 2 Sm 2.72
S4 0.2992 0.5983 0.0933  1 Ta 2.54, 2 Sm 2.72
S5 0.7236 0.4473 0.2500  2 Ta 2.64, 2 Sm 2.95
S6 0.2764 0.5527 0.7500  2 Ta 2.64, 2 Sm 2.95
S7 0.7008 0.4017 0.5933  1 Ta 2.54, 2 Sm 2.72
S8 0.7008 0.4017 0.9067  1 Ta 2.54, 2 Sm 2.72
S9 0.0485 0.0969 0.1249  1 Ta 2.41
S10 0.0485 0.0969 0.3751  1 Ta 2.41



In the order shown, the computed calculated volume values come out to 28.850 26.707 24.443 25.604 22.893 23.322 25.946 27.708 A^3/atom.
In the order shown, the computed raw formation energy values come out to -1.984 -1.835 -2.045 -2.079 -2.013 -2.010 -1.833 -1.463 eV per atom.